{
  "formula": "Te4As3",
  "functional": "GGA-PBEsol",
  "state": "optimized geometry",
  "cell": [[5.317, 0.000, 0.000], [-2.659, 4.605, 0.000], [0.000, 0.000, 7.138]],
  "species": ["As", "As", "As", "Te", "Te", "Te", "Te"],
  "frac_coords": [[0.500, 0.500, 0.000], [0.500, 0.000, 0.000], [0.000, 0.500, 0.000], [0.333, 0.667, 0.500], [0.667, 0.333, 0.500], [0.000, 0.000, 0.238], [0.000, 0.000, 0.762]],
  "mass_density_g_cm3": 6.985,
  "magnetic_moment_mub_per_fu": 0.0,
  "formation_energy_uncorrected_mev_per_atom": 431,
  "space_group": "P6/mmm",
  "dos_ef_per_ev_cell": 5.0
}

{
  "formula": "TeAs3",
  "functional": "GGA-PBEsol",
  "state": "optimized geometry",
  "cell": [[-0.724, -3.377, 1.331], [1.216, 0.399, -3.473], [7.051, -0.564, 2.404]],
  "species": ["As", "As", "As", "Te"],
  "frac_coords": [[0.000, 0.000, 0.225], [0.333, 0.667, 0.000], [0.000, 0.000, 0.775], [0.333, 0.667, 0.500]],
  "mass_density_g_cm3": 6.601,
  "magnetic_moment_mub_per_fu": 0.0,
  "formation_energy_uncorrected_mev_per_atom": 221,
  "space_group": "P-6m2",
  "dos_ef_per_ev_cell": 1.7
}

{
  "formula": "Te3As",
  "functional": "GGA-PBEsol",
  "state": "optimized geometry",
  "cell": [[4.220, 0.000, 0.000], [2.110, 3.655, 0.000], [2.110, 1.218, 7.242]],
  "species": ["As", "Te", "Te", "Te"],
  "frac_coords": [[0.000, 0.000, 0.000], [0.500, 0.500, 0.500], [0.742, 0.742, 0.775], [0.258, 0.258, 0.225]],
  "mass_density_g_cm3": 6.804,
  "magnetic_moment_mub_per_fu": 0.0,
  "formation_energy_uncorrected_mev_per_atom": 46,
  "space_group": "R-3m",
  "dos_ef_per_ev_cell": 2.3
}

{
  "formula": "Te3As",
  "functional": "GGA-PBEsol",
  "state": "optimized geometry",
  "cell": [[-1.468, 3.357, 0.494], [-4.542, -2.169, 1.241], [1.416, -0.114, 4.986]],
  "species": ["Te", "Te", "Te", "As"],
  "frac_coords": [[0.500, 0.500, 0.000], [0.000, 0.500, 0.500], [0.500, 0.000, 0.500], [0.000, 0.000, 0.000]],
  "mass_density_g_cm3": 7.648,
  "magnetic_moment_mub_per_fu": 0.0,
  "formation_energy_uncorrected_mev_per_atom": 326,
  "space_group": "P4/mmm",
  "dos_ef_per_ev_cell": 2.6
}

{
  "formula": "TeAs3",
  "functional": "GGA-PBEsol",
  "state": "optimized geometry",
  "cell": [[3.357, 0.000, 0.000], [0.000, 3.357, 0.000], [0.000, 0.000, 7.592]],
  "species": ["As", "As", "As", "Te"],
  "frac_coords": [[0.000, 0.000, 0.815], [0.000, 0.000, 0.185], [0.500, 0.500, 0.000], [0.500, 0.500, 0.500]],
  "mass_density_g_cm3": 6.840,
  "magnetic_moment_mub_per_fu": 0.0,
  "formation_energy_uncorrected_mev_per_atom": 327,
  "space_group": "P4/mmm",
  "dos_ef_per_ev_cell": 2.0
}

{
  "formula": "TiTe2AsW",
  "functional": "GGA-PBEsol",
  "state": "optimized geometry",
  "cell": [[4.835, 0.000, 0.000], [0.000, 5.128, 0.000], [0.000, 0.000, 5.128]],
  "species": ["W", "Te", "Te", "As", "Ti"],
  "frac_coords": [[0.000, 0.000, 0.000], [0.000, 0.000, 0.500], [0.000, 0.500, 0.000], [0.500, 0.500, 0.500], [0.500, 0.000, 0.000]],
  "mass_density_g_cm3": 7.338,
  "magnetic_moment_mub_per_fu": 0.0,
  "formation_energy_uncorrected_mev_per_atom": 918,
  "space_group": "P4/mmm",
  "dos_ef_per_ev_cell": 4.5
}

{
  "formula": "TlTeAs",
  "functional": "GGA-PBEsol",
  "state": "optimized geometry",
  "cell": [[5.042, 0.000, 0.000], [2.521, 4.366, 0.000], [2.521, 1.455, 4.117]],
  "species": ["Te", "Tl", "As"],
  "frac_coords": [[0.750, 0.750, 0.750], [0.000, 0.000, 0.000], [0.500, 0.500, 0.500]],
  "mass_density_g_cm3": 7.455,
  "magnetic_moment_mub_per_fu": 0.0,
  "formation_energy_uncorrected_mev_per_atom": 414,
  "space_group": "F-43m",
  "dos_ef_per_ev_cell": 3.9
}

{
  "formula": "TlTeAs",
  "functional": "GGA-PBEsol",
  "state": "optimized geometry",
  "cell": [[-1.448, -2.505, -1.105], [2.962, 0.244, -4.436], [1.701, -2.833, 4.194]],
  "species": ["Tl", "Te", "As"],
  "frac_coords": [[0.333, 0.667, 0.333], [0.834, 0.333, 0.667], [0.834, 0.000, 0.000]],
  "mass_density_g_cm3": 8.836,
  "magnetic_moment_mub_per_fu": 0.0,
  "formation_energy_uncorrected_mev_per_atom": 180,
  "space_group": "P-6m2",
  "dos_ef_per_ev_cell": 1.5
}

{
  "formula": "TlTe3As",
  "functional": "GGA-PBEsol",
  "state": "optimized geometry",
  "cell": [[-3.549, -4.259, 0.591], [1.142, -1.673, -5.194], [4.145, -3.185, 1.937]],
  "species": ["Te", "Te", "Te", "Tl", "As"],
  "frac_coords": [[0.500, 0.000, 0.000], [0.000, 0.500, 0.000], [0.000, 0.000, 0.500], [0.000, 0.000, 0.000], [0.500, 0.500, 0.500]],
  "mass_density_g_cm3": 6.345,
  "magnetic_moment_mub_per_fu": 0.0,
  "formation_energy_uncorrected_mev_per_atom": 1023,
  "space_group": "Pm-3m",
  "dos_ef_per_ev_cell": 6.1
}

{
  "formula": "TlTe3As",
  "functional": "GGA-PBEsol",
  "state": "optimized geometry",
  "cell": [[5.432, 0.000, 0.000], [0.000, 5.432, 0.000], [0.000, 0.000, 5.432]],
  "species": ["Te", "Te", "Te", "As", "Tl"],
  "frac_coords": [[0.000, 0.500, 0.000], [0.000, 0.000, 0.500], [0.500, 0.000, 0.000], [0.000, 0.000, 0.000], [0.500, 0.500, 0.500]],
  "mass_density_g_cm3": 6.858,
  "magnetic_moment_mub_per_fu": 0.0,
  "formation_energy_uncorrected_mev_per_atom": 227,
  "space_group": "Pm-3m",
  "dos_ef_per_ev_cell": 5.3
}

{
  "formula": "TlTeAs",
  "functional": "GGA-PBEsol",
  "state": "optimized geometry",
  "cell": [[3.784, 0.000, 0.000], [0.000, 3.784, 0.000], [-1.892, -1.892, 5.761]],
  "species": ["Tl", "Te", "As"],
  "frac_coords": [[0.338, 0.338, 0.676], [0.625, 0.625, 0.251], [0.037, 0.037, 0.074]],
  "mass_density_g_cm3": 8.191,
  "magnetic_moment_mub_per_fu": 0.0,
  "formation_energy_uncorrected_mev_per_atom": 66,
  "space_group": "I4mm",
  "dos_ef_per_ev_cell": 1.4
}

{
  "formula": "TeAs2W",
  "functional": "GGA-PBEsol",
  "state": "optimized geometry",
  "cell": [[-0.213, -0.402, -3.236], [-2.368, -2.211, 0.431], [-4.990, 5.281, -0.328]],
  "species": ["As", "As", "W", "Te"],
  "frac_coords": [[0.500, 0.500, 0.172], [0.000, 0.000, 0.980], [0.500, 0.500, 0.791], [0.000, 0.000, 0.558]],
  "mass_density_g_cm3": 9.860,
  "magnetic_moment_mub_per_fu": 0.0,
  "formation_energy_uncorrected_mev_per_atom": 188,
  "space_group": "P4mm",
  "dos_ef_per_ev_cell": 1.8
}

{
  "formula": "TeAs2W",
  "functional": "GGA-PBEsol",
  "state": "optimized geometry",
  "cell": [[-3.138, 3.018, 1.099], [-1.634, -2.459, -3.682], [0.744, -2.886, 3.761]],
  "species": ["As", "As", "W", "Te"],
  "frac_coords": [[0.000, 0.000, 0.500], [0.500, 0.500, 0.500], [0.000, 0.500, 0.000], [0.500, 0.000, 0.000]],
  "mass_density_g_cm3": 9.595,
  "magnetic_moment_mub_per_fu": 0.0,
  "formation_energy_uncorrected_mev_per_atom": 703,
  "space_group": "C2/m",
  "dos_ef_per_ev_cell": 3.8
}

{
  "formula": "TeAs2W",
  "functional": "GGA-PBEsol",
  "state": "optimized geometry",
  "cell": [[-3.232, 1.738, -0.757], [-0.763, -1.574, 4.239], [1.751, 4.048, 1.818]],
  "species": ["As", "As", "Te", "W"],
  "frac_coords": [[0.299, 0.182, 0.000], [0.701, 0.818, 0.000], [0.000, 0.500, 0.500], [0.500, 0.000, 0.500]],
  "mass_density_g_cm3": 9.541,
  "magnetic_moment_mub_per_fu": 0.0,
  "formation_energy_uncorrected_mev_per_atom": 460,
  "space_group": "P2/m",
  "dos_ef_per_ev_cell": 3.1
}

{
  "formula": "TeAs2W",
  "functional": "GGA-PBEsol",
  "state": "optimized geometry",
  "cell": [[-2.218, -0.691, 1.834], [2.249, -1.914, 0.195], [4.021, 5.432, 6.911]],
  "species": ["Te", "As", "As", "W"],
  "frac_coords": [[0.000, 0.000, 0.475], [0.000, 0.000, 0.034], [0.500, 0.500, 0.759], [0.500, 0.500, 0.232]],
  "mass_density_g_cm3": 9.771,
  "magnetic_moment_mub_per_fu": 0.0,
  "formation_energy_uncorrected_mev_per_atom": 557,
  "space_group": "Cmm2",
  "dos_ef_per_ev_cell": 2.8
}

{
  "formula": "YTeAs",
  "functional": "GGA-PBEsol",
  "state": "optimized geometry",
  "cell": [[3.869, 0.000, 0.000], [0.000, 3.869, 0.000], [-1.935, -1.935, 4.916]],
  "species": ["Te", "Y", "As"],
  "frac_coords": [[0.318, 0.318, 0.636], [0.645, 0.645, 0.290], [0.037, 0.037, 0.074]],
  "mass_density_g_cm3": 6.576,
  "magnetic_moment_mub_per_fu": 0.0,
  "formation_energy_uncorrected_mev_per_atom": -926,
  "space_group": "I4mm",
  "dos_ef_per_ev_cell": 1.6
}

{
  "formula": "YTeAs",
  "functional": "GGA-PBEsol",
  "state": "optimized geometry",
  "cell": [[-2.373, -3.183, -2.911], [2.473, -3.654, -2.183], [-0.673, -4.650, 1.471]],
  "species": ["Y", "As", "Te"],
  "frac_coords": [[0.000, 0.000, 0.000], [0.500, 0.500, 0.500], [0.250, 0.250, 0.250]],
  "mass_density_g_cm3": 5.735,
  "magnetic_moment_mub_per_fu": 0.0,
  "formation_energy_uncorrected_mev_per_atom": -358,
  "space_group": "F-43m",
  "dos_ef_per_ev_cell": 1.5
}

{
  "formula": "ZrTe2As",
  "functional": "GGA-PBEsol",
  "state": "optimized geometry",
  "cell": [[3.702, 0.000, 0.000], [-1.851, 4.595, -0.037], [0.000, -0.700, 6.276]],
  "species": ["Zr", "Te", "Te", "As"],
  "frac_coords": [[0.492, 0.984, 0.588], [0.008, 0.016, 0.944], [0.794, 0.587, 0.312], [0.206, 0.413, 0.656]],
  "mass_density_g_cm3": 6.559,
  "magnetic_moment_mub_per_fu": 0.0,
  "formation_energy_uncorrected_mev_per_atom": -511,
  "space_group": "Cm",
  "dos_ef_per_ev_cell": 1.7
}

{
  "formula": "ZrTe2As",
  "functional": "GGA-PBEsol",
  "state": "optimized geometry",
  "cell": [[-2.314, 1.824, -2.351], [2.420, -1.693, -3.695], [-1.989, -5.111, 1.039]],
  "species": ["Zr", "As", "Te", "Te"],
  "frac_coords": [[0.308, 0.000, 0.492], [0.446, 0.500, 0.764], [0.024, 0.000, 0.922], [0.722, 0.500, 0.322]],
  "mass_density_g_cm3": 7.477,
  "magnetic_moment_mub_per_fu": 0.0,
  "formation_energy_uncorrected_mev_per_atom": -471,
  "space_group": "Pm",
  "dos_ef_per_ev_cell": 1.6
}

{
  "formula": "ZrTe2As",
  "functional": "GGA-PBEsol",
  "state": "optimized geometry",
  "cell": [[4.143, 0.000, 0.000], [0.000, 4.923, 0.000], [-2.072, -2.462, 4.458]],
  "species": ["As", "Te", "Te", "Zr"],
  "frac_coords": [[0.000, 0.500, 0.000], [0.715, 0.715, 0.430], [0.285, 0.285, 0.570], [0.500, 0.000, 0.000]],
  "mass_density_g_cm3": 7.694,
  "magnetic_moment_mub_per_fu": 0.0,
  "formation_energy_uncorrected_mev_per_atom": -215,
  "space_group": "Immm",
  "dos_ef_per_ev_cell": 2.6
}

{
  "formula": "ZrTe2As",
  "functional": "GGA-PBEsol",
  "state": "optimized geometry",
  "cell": [[6.613, 0.000, 0.000], [0.000, 6.613, 0.000], [-3.306, -3.306, 6.190]],
  "species": ["As", "As", "Te", "Te", "Te", "Te", "Zr", "Zr"],
  "frac_coords": [[0.750, 0.250, 0.500], [0.500, 0.500, 0.000], [0.883, 0.375, 0.250], [0.367, 0.875, 0.250], [0.625, 0.633, 0.750], [0.125, 0.117, 0.750], [0.250, 0.750, 0.500], [0.000, 0.000, 0.000]],
  "mass_density_g_cm3": 5.169,
  "magnetic_moment_mub_per_fu": 0.0,
  "formation_energy_uncorrected_mev_per_atom": 226,
  "space_group": "I-42d",
  "dos_ef_per_ev_cell": 12.6
}

{
  "formula": "ThAs",
  "functional": "GGA-PBEsol",
  "state": "optimized geometry",
  "cell": [[4.206, 0.000, 0.000], [2.103, 3.643, 0.000], [2.103, 1.214, 3.434]],
  "species": ["Th", "As"],
  "frac_coords": [[0.500, 0.500, 0.500], [0.000, 0.000, 0.000]],
  "mass_density_g_cm3": 9.686,
  "magnetic_moment_mub_per_fu": 0.0,
  "final_energy_ha_per_atom": -0.294,
  "space_group": "Fm-3m",
  "dos_ef_per_ev_cell": 1.2
}

{
  "formula": "ThAs2",
  "functional": "GGA-PBEsol",
  "state": "optimized geometry",
  "cell": [[4.080, 0.000, 0.000], [0.000, 4.080, 0.000], [0.000, 0.000, 8.421]],
  "species": ["As", "As", "As", "As", "Th", "Th"],
  "frac_coords": [[0.000, 0.000, 0.000], [0.500, 0.500, 0.000], [0.500, 0.000, 0.360], [0.000, 0.500, 0.640], [0.500, 0.000, 0.718], [0.000, 0.500, 0.282]],
  "mass_density_g_cm3": 9.048,
  "magnetic_moment_mub_per_fu": 0.0,
  "final_energy_ha_per_atom": -0.263,
  "space_group": "P4/nmm",
  "dos_ef_per_ev_cell": 2.3
}

{
  "formula": "Ti4As3",
  "functional": "GGA-PBEsol",
  "state": "optimized geometry",
  "cell": [[-6.424, 0.225, -1.391], [2.070, -6.239, -0.203], [1.029, 2.457, 6.013]],
  "species": ["Ti", "Ti", "Ti", "Ti", "Ti", "Ti", "Ti", "Ti", "As", "As", "As", "As", "As", "As"],
  "frac_coords": [[0.500, 0.150, 0.500], [0.350, 0.350, 0.850], [0.650, 0.000, 0.000], [0.000, 0.500, 0.150], [0.150, 0.000, 0.000], [0.000, 0.500, 0.650], [0.850, 0.850, 0.350], [0.500, 0.650, 0.500], [0.625, 0.375, 0.250], [0.125, 0.250, 0.375], [0.750, 0.625, 0.875], [0.375, 0.750, 0.125], [0.250, 0.875, 0.625], [0.875, 0.125, 0.750]],
  "mass_density_g_cm3": 6.312,
  "magnetic_moment_mub_per_fu": 0.0,
  "final_energy_ha_per_atom": -0.291,
  "space_group": "I-43d",
  "dos_ef_per_ev_cell": 9.8
}

{
  "formula": "TiTl2AsW",
  "functional": "GGA-PBEsol",
  "state": "optimized geometry",
  "cell": [[-0.748, -3.241, -3.201], [-1.951, -3.243, 3.739], [-4.874, 1.958, -0.844]],
  "species": ["As", "Ti", "Tl", "Tl", "W"],
  "frac_coords": [[0.500, 0.500, 0.500], [0.500, 0.000, 0.000], [0.000, 0.000, 0.500], [0.000, 0.500, 0.000], [0.000, 0.000, 0.000]],
  "mass_density_g_cm3": 9.091,
  "magnetic_moment_mub_per_fu": 0.9,
  "final_energy_ha_per_atom": -0.197,
  "space_group": "P4/mmm",
  "dos_ef_per_ev_cell": 6.7
}

{
  "formula": "TiVAs2",
  "functional": "GGA-PBEsol",
  "state": "optimized geometry",
  "cell": [[-0.188, -2.534, -2.169], [2.356, 2.341, -0.366], [4.040, -3.484, 3.720]],
  "species": ["Ti", "As", "As", "V"],
  "frac_coords": [[0.000, 0.000, 0.000], [0.333, 0.667, 0.259], [0.667, 0.333, 0.741], [0.000, 0.000, 0.500]],
  "mass_density_g_cm3": 6.567,
  "magnetic_moment_mub_per_fu": 0.0,
  "final_energy_ha_per_atom": -0.284,
  "space_group": "P-3m1",
  "dos_ef_per_ev_cell": 3.9
}

{
  "formula": "Y3TiAs",
  "functional": "GGA-PBEsol",
  "state": "optimized geometry",
  "cell": [[5.123, 0.000, 0.000], [0.000, 5.123, 0.000], [0.000, 0.000, 5.123]],
  "species": ["Ti", "Y", "Y", "Y", "As"],
  "frac_coords": [[0.000, 0.000, 0.000], [0.500, 0.000, 0.000], [0.000, 0.000, 0.500], [0.000, 0.500, 0.000], [0.500, 0.500, 0.500]],
  "mass_density_g_cm3": 4.812,
  "magnetic_moment_mub_per_fu": 0.0,
  "final_energy_ha_per_atom": -0.232,
  "space_group": "Pm-3m",
  "dos_ef_per_ev_cell": 4.5
}

{
  "formula": "ZrTi3As2",
  "functional": "GGA-PBEsol",
  "state": "optimized geometry",
  "cell": [[3.688, 0.000, 0.000], [0.000, 3.688, 0.000], [-1.844, -1.844, 7.235]],
  "species": ["Ti", "Ti", "Ti", "As", "As", "Zr"],
  "frac_coords": [[0.677, 0.677, 0.355], [0.502, 0.002, 0.003], [0.002, 0.502, 0.003], [0.868, 0.868, 0.735], [0.133, 0.133, 0.265], [0.319, 0.319, 0.638]],
  "mass_density_g_cm3": 6.490,
  "magnetic_moment_mub_per_fu": 0.0,
  "final_energy_ha_per_atom": -0.307,
  "space_group": "I4mm",
  "dos_ef_per_ev_cell": 3.5
}

{
  "formula": "Zr2TiAs2",
  "functional": "GGA-PBEsol",
  "state": "optimized geometry",
  "cell": [[-1.191, -2.931, -1.922], [2.664, -4.232, 4.802], [-6.000, 0.162, 3.471]],
  "species": ["As", "As", "As", "As", "Zr", "Zr", "Zr", "Zr", "Ti", "Ti"],
  "frac_coords": [[0.000, 0.856, 0.644], [0.000, 0.356, 0.856], [0.000, 0.644, 0.144], [0.000, 0.144, 0.356], [0.500, 0.339, 0.161], [0.500, 0.661, 0.839], [0.500, 0.161, 0.661], [0.500, 0.839, 0.339], [0.000, 0.500, 0.500], [0.000, 0.000, 0.000]],
  "mass_density_g_cm3": 7.096,
  "magnetic_moment_mub_per_fu": 0.0,
  "final_energy_ha_per_atom": -0.308,
  "space_group": "P4/mbm",
  "dos_ef_per_ev_cell": 3.5
}